## CrCu3Mo (PBE)

Data for an optimized crystal structure of CrCu3Mo.

a b c (Å): 4.2926 4.2926 4.2926
angles (deg): 90.00 90.00 90.00
Fractional positions:
Cr1 0.0000 0.0000 0.0000
Cu1 0.0000 0.0000 0.5000
Cu2 0.0000 0.5000 0.0000
Cu3 0.5000 0.0000 0.0000
Mo1 0.5000 0.5000 0.5000

Excess energy over the best structure of this formula in the dataset, eV per atom: 0.000
Calculated formation energy, eV/atom: 1.646



## PmSc2CdPd4 (PBE)

Data for an optimized crystal structure of PmSc2CdPd4.

a b c (Å): 8.4355 8.4355 8.4355
angles (deg): 32.59 32.59 32.59
Fractional positions:
Pm1 0.0000 0.0000 0.0000
Sc1 0.2407 0.2407 0.2407
Sc2 0.7593 0.7593 0.7593
Cd1 0.5000 0.5000 0.5000
Pd1 0.1225 0.1225 0.1225
Pd2 0.3827 0.3827 0.3827
Pd3 0.6173 0.6173 0.6173
Pd4 0.8775 0.8775 0.8775

Calculated formation energy, eV/atom: -0.733



| no. | spin magnetization (μB per formula unit) | calculated total energy (eV/atom) |
| --- | --- | --- |
| 1 | 0.000 | -4.90 |
| 2 | 0.000 | -5.62 |